1.
This record from the Alexandria database describes a relaxed structure of ZrAlBr2. The functional is PBE.

Structure (POSCAR):
```
ZrAlBr2
1.0
-1.166 3.578 3.866
-4.671 -2.079 -1.724
0.223 -2.397 2.286
Br Zr Al
2 1 1
direct
0.000 0.000 0.000
0.500 0.500 0.000
0.500 0.000 0.500
0.000 0.500 0.500
```

Summary:
As for the space group: Cmmm. The magnetization comes out at 0.060 μB per atom. Its total energy is -15.53 eV per cell.

=====

2.
This record from the Alexandria database describes a relaxed structure of BeOs. The functional is PBE.

Structure (POSCAR):
```
BeOs
1.0
-0.186 1.989 -1.741
-2.125 -1.553 0.312
-2.648 4.775 5.738
Be Os
2 2
direct
0.000 0.000 0.989
0.500 0.500 0.761
0.000 0.000 0.522
0.500 0.500 0.228
```

Summary:
As for the space group: Cmme. The magnetization comes out at 0.000 μB per atom. The calculation puts the formation energy from the elements at 0.380 eV/atom.

=====

3.
This record from the Alexandria database describes a relaxed structure of Sr2SbPb. The functional is PBE.

Structure (POSCAR):
```
Sr2SbPb
1.0
5.873 -0.070 0.000
-1.270 5.734 0.000
0.000 0.000 4.007
Pb Sb Sr
1 1 2
direct
0.500 0.000 0.500
0.000 0.500 0.500
0.000 0.000 0.000
0.500 0.500 0.000
```

Summary:
As for the space group: Cmmm. The magnetization comes out at 0.000 μB per atom. Its total energy is -13.90 eV per cell.

=====

4.
This record from the Alexandria database describes a relaxed structure of Ba4Al. The functional is PBE.

Structure (POSCAR):
```
Ba4Al
1.0
6.259 2.903 -0.681
-2.745 -2.860 5.688
0.624 -5.536 -4.127
Ba Al
4 1
direct
0.203 0.626 0.829
0.626 0.797 0.423
0.797 0.374 0.171
0.374 0.203 0.577
0.000 0.000 0.000
```

Summary:
As for the space group: I4/m. The magnetization comes out at 0.000 μB per atom. The calculation puts the formation energy from the elements at 0.114 eV/atom.

=====

5.
This record from the Alexandria database describes a relaxed structure of CsYCu3. The functional is PBE.

Structure (POSCAR):
```
CsYCu3
1.0
5.285 0.000 0.000
0.000 5.285 0.000
0.000 0.000 5.285
Cs Y Cu
1 1 3
direct
0.000 0.000 0.000
0.500 0.500 0.500
0.000 0.500 0.000
0.000 0.000 0.500
0.500 0.000 0.000
```

Summary:
As for the space group: Pm-3m. The magnetization comes out at 0.000 μB per atom. The calculation puts the formation energy from the elements at 1.459 eV/atom.

=====

6.
This record from the Alexandria database describes a relaxed structure of Y3TiZn. The functional is PBE.

Structure (POSCAR):
```
Y3TiZn
1.0
5.394 0.000 0.000
0.000 5.394 0.000
0.000 0.000 5.394
Y Zn Ti
3 1 1
direct
0.000 0.500 0.000
0.000 0.000 0.500
0.500 0.000 0.000
0.000 0.000 0.000
0.500 0.500 0.500
```

Summary:
As for the space group: Pm-3m. The magnetization comes out at 0.703 μB per atom. The calculation puts the formation energy from the elements at 0.525 eV/atom.